A relaxed MnRuF2 crystal, computed with PBE with a Hubbard U.

abc: 4.2320 4.2320 4.2320
angles: 60.00 60.00 60.00
Fractional coordinates of all 4 atoms:
1 Mn 0.0000 0.0000 0.0000
2 Ru 0.5000 0.5000 0.5000
3 F 0.2500 0.2500 0.2500
4 F 0.7500 0.7500 0.7500

Values from the calculation:
SG: Fm-3m (225)
energy relative to the lowest polymorph listed for this composition: 1.710 eV per formula unit
total DFT energy (no corrections): -5.5918 eV/atom
density of states at the Fermi level: 0.4882 states/eV per atom